1.
The following is a GGA-PBE calculation of LiTi2SbH after structural relaxation, from Alexandria.

Structure (CIF):
```
data_LiTi2SbH
_symmetry_space_group_name_H-M 'P 4/m m m'
_symmetry_Int_Tables_number 123
_symmetry_space_group_name_Hall '-P 4 2'
_cell_length_a 3.999
_cell_length_b 3.999
_cell_length_c 4.347
_cell_angle_alpha 90.00
_cell_angle_beta 90.00
_cell_angle_gamma 90.00
loop_
_atom_site_label
_atom_site_fract_x
_atom_site_fract_y
_atom_site_fract_z
Li1 0.000 0.000 0.000
Ti1 0.000 0.500 0.500
Sb1 0.500 0.500 0.000
H1 0.000 0.000 0.500
```

- DFT total energy: -5.45 eV per atom



2.
The following is a GGA-PBE calculation of RbPm3Ho2Te6 after structural relaxation, from Alexandria.

Structure (CIF):
```
data_RbPm3Ho2Te6
_symmetry_space_group_name_H-M 'C 1 2/m 1'
_symmetry_Int_Tables_number 12
_cell_length_a 19.646
_cell_length_b 4.434
_cell_length_c 9.184
_cell_angle_alpha 90.00
_cell_angle_beta 103.61
_cell_angle_gamma 90.00
loop_
_symmetry_equiv_pos_as_xyz
'x,y,z'
'-x,-y,-z'
'-x,y,-z'
'x,-y,z'
'x+1/2,y+1/2,z'
'-x+1/2,-y+1/2,-z'
'-x+1/2,y+1/2,-z'
'x+1/2,-y+1/2,z'
loop_
_atom_site_label
_atom_site_fract_x
_atom_site_fract_y
_atom_site_fract_z
Rb1 0.000 0.000 0.000
Pm1 0.000 0.000 0.500
Pm2 0.157 0.500 0.814
Ho1 0.167 0.500 0.341
Te1 0.008 0.500 0.269
Te2 0.169 0.000 0.575
Te3 0.177 0.000 0.094
```

- DFT total energy: -4.90 eV per atom



3.
The following is a GGA-PBE calculation of TiNb2Ga after structural relaxation, from Alexandria.

Structure (CIF):
```
data_TiNb2Ga
_symmetry_space_group_name_H-M 'P 1 21/m 1'
_symmetry_Int_Tables_number 11
_cell_length_a 4.637
_cell_length_b 4.957
_cell_length_c 6.060
_cell_angle_alpha 90.00
_cell_angle_beta 90.00
_cell_angle_gamma 90.00
loop_
_symmetry_equiv_pos_as_xyz
'x,y,z'
'-x,-y,-z'
'-x,y+1/2,-z'
'x,-y+1/2,z'
loop_
_atom_site_label
_atom_site_fract_x
_atom_site_fract_y
_atom_site_fract_z
Ti1 0.002 0.250 0.116
Nb1 0.000 0.250 0.619
Nb2 0.499 0.750 0.632
Ga1 0.499 0.750 0.133
```

- Formation energy from the elements: -0.110 eV/atom



4.
The following is a GGA-PBE calculation of Ba2WAu after structural relaxation, from Alexandria.

Structure (CIF):
```
data_Ba2WAu
_symmetry_space_group_name_H-M 'I m m 2'
_symmetry_Int_Tables_number 44
_cell_length_a 4.182
_cell_length_b 5.441
_cell_length_c 11.637
_cell_angle_alpha 90.00
_cell_angle_beta 90.00
_cell_angle_gamma 90.00
loop_
_symmetry_equiv_pos_as_xyz
'x,y,z'
'-x,-y,z'
'-x,y,z'
'x,-y,z'
'x+1/2,y+1/2,z+1/2'
'-x+1/2,-y+1/2,z+1/2'
'-x+1/2,y+1/2,z+1/2'
'x+1/2,-y+1/2,z+1/2'
loop_
_atom_site_label
_atom_site_fract_x
_atom_site_fract_y
_atom_site_fract_z
Ba1 0.000 0.000 0.000
Ba2 0.000 0.500 0.208
W1 0.000 0.500 0.788
Au1 0.000 0.000 0.425
```

- Formation energy from the elements: 0.651 eV/atom



5.
The following is a GGA-PBE calculation of La6TeIr2Cl3 after structural relaxation, from Alexandria.

Structure (CIF):
```
data_La6TeIr2Cl3
_symmetry_space_group_name_H-M 'C 1 2/m 1'
_symmetry_Int_Tables_number 12
_cell_length_a 18.906
_cell_length_b 4.261
_cell_length_c 8.963
_cell_angle_alpha 90.00
_cell_angle_beta 102.37
_cell_angle_gamma 90.00
loop_
_symmetry_equiv_pos_as_xyz
'x,y,z'
'-x,-y,-z'
'-x,y,-z'
'x,-y,z'
'x+1/2,y+1/2,z'
'-x+1/2,-y+1/2,-z'
'-x+1/2,y+1/2,-z'
'x+1/2,-y+1/2,z'
loop_
_atom_site_label
_atom_site_fract_x
_atom_site_fract_y
_atom_site_fract_z
La1 0.018 0.000 0.271
La2 0.176 0.500 0.560
La3 0.177 0.500 0.120
Te1 0.000 0.500 0.000
Ir1 0.171 0.000 0.332
Cl1 0.000 0.500 0.500
Cl2 0.153 0.000 0.827
```

- DFT total energy: -6.05 eV per atom



6.
The following is a GGA-PBE calculation of Nb5Ir4Rh after structural relaxation, from Alexandria.

Structure (CIF):
```
data_Nb5Ir4Rh
_symmetry_space_group_name_H-M 'P 4/m m m'
_symmetry_Int_Tables_number 123
_symmetry_space_group_name_Hall '-P 4 2'
_cell_length_a 2.888
_cell_length_b 2.888
_cell_length_c 19.370
_cell_angle_alpha 90.00
_cell_angle_beta 90.00
_cell_angle_gamma 90.00
loop_
_atom_site_label
_atom_site_fract_x
_atom_site_fract_y
_atom_site_fract_z
Nb1 0.000 0.000 0.000
Nb2 0.000 0.000 0.200
Nb3 0.000 0.000 0.400
Ir1 0.500 0.500 0.100
Ir2 0.500 0.500 0.301
Rh1 0.500 0.500 0.500
```

- Formation energy from the elements: -0.498 eV/atom



7.
The following is a GGA-PBE calculation of PRh after structural relaxation, from Alexandria.

Structure (CIF):
```
data_PRh
_symmetry_space_group_name_H-M 'P 63 m c'
_symmetry_Int_Tables_number 186
_symmetry_space_group_name_Hall 'P 6c -2c'
_cell_length_a 3.5735
_cell_length_b 3.5735
_cell_length_c 6.5100
_cell_angle_alpha 90.00
_cell_angle_beta 90.00
_cell_angle_gamma 120.00
loop_
_atom_site_label
_atom_site_fract_x
_atom_site_fract_y
_atom_site_fract_z
P1 0.3333 0.6667 0.0000
Rh1 0.3333 0.6667 0.3596
```

- Formation energy from the elements: -0.401 eV/atom



8.
The following is a GGA-PBE calculation of PPbCCl2 after structural relaxation, from Alexandria.

Structure (CIF):
```
data_PPbCCl2
_symmetry_space_group_name_H-M 'P 4/m m m'
_symmetry_Int_Tables_number 123
_symmetry_space_group_name_Hall '-P 4 2'
_cell_length_a 5.285
_cell_length_b 5.285
_cell_length_c 5.489
_cell_angle_alpha 90.00
_cell_angle_beta 90.00
_cell_angle_gamma 90.00
loop_
_atom_site_label
_atom_site_fract_x
_atom_site_fract_y
_atom_site_fract_z
P1 0.000 0.000 0.000
Pb1 0.000 0.000 0.500
C1 0.500 0.500 0.000
Cl1 0.000 0.500 0.500
```

- DFT total energy: -2.80 eV per atom



9.
The following is a GGA-PBE calculation of RbSb3Te after structural relaxation, from Alexandria.

Structure (CIF):
```
data_RbSb3Te
_symmetry_space_group_name_H-M 'P m -3 m'
_symmetry_Int_Tables_number 221
_symmetry_space_group_name_Hall '-P 4 2 3'
_cell_length_a 5.991
_cell_length_b 5.991
_cell_length_c 5.991
_cell_angle_alpha 90.00
_cell_angle_beta 90.00
_cell_angle_gamma 90.00
loop_
_atom_site_label
_atom_site_fract_x
_atom_site_fract_y
_atom_site_fract_z
Rb1 0.000 0.000 0.000
Sb1 0.000 0.000 0.500
Te1 0.500 0.500 0.500
```

- DFT total energy: -1.78 eV per atom



10.
The following is a GGA-PBE calculation of MgZnGe2 after structural relaxation, from Alexandria.

Structure (CIF):
```
data_MgZnGe2
_symmetry_space_group_name_H-M 'I -4 2 d'
_symmetry_Int_Tables_number 122
_symmetry_space_group_name_Hall 'I -4 2bw'
_cell_length_a 6.010
_cell_length_b 6.010
_cell_length_c 11.676
_cell_angle_alpha 90.00
_cell_angle_beta 90.00
_cell_angle_gamma 90.00
loop_
_atom_site_label
_atom_site_fract_x
_atom_site_fract_y
_atom_site_fract_z
Mg1 0.000 0.000 0.000
Zn1 0.000 0.000 0.500
Ge1 0.204 0.250 0.625
```

- Formation energy from the elements: 0.469 eV/atom



11.
The following is a GGA-PBE calculation of FeRe2Rh after structural relaxation, from Alexandria.

Structure (CIF):
```
data_FeRe2Rh
_symmetry_space_group_name_H-M 'I -4 m 2'
_symmetry_Int_Tables_number 119
_symmetry_space_group_name_Hall 'I -4 -2'
_cell_length_a 3.846
_cell_length_b 3.846
_cell_length_c 7.505
_cell_angle_alpha 90.00
_cell_angle_beta 90.00
_cell_angle_gamma 90.00
loop_
_atom_site_label
_atom_site_fract_x
_atom_site_fract_y
_atom_site_fract_z
Fe1 0.000 0.000 0.000
Re1 0.000 0.000 0.500
Re2 0.000 0.500 0.750
Rh1 0.000 0.500 0.250
```

- Formation energy from the elements: 0.027 eV/atom



12.
The following is a GGA-PBE calculation of Mn2CoNiSb2 after structural relaxation, from Alexandria.

Structure (CIF):
```
data_Mn2CoNiSb2
_symmetry_space_group_name_H-M 'R 3 m'
_symmetry_Int_Tables_number 160
_symmetry_space_group_name_Hall 'R 3 -2"'
_cell_length_a 4.2439
_cell_length_b 4.2439
_cell_length_c 20.8559
_cell_angle_alpha 90.00
_cell_angle_beta 90.00
_cell_angle_gamma 120.00
loop_
_atom_site_label
_atom_site_fract_x
_atom_site_fract_y
_atom_site_fract_z
Mn1 0.0000 0.0000 0.0000
Mn2 0.0000 0.0000 0.4974
Co1 0.0000 0.0000 0.7489
Ni1 0.0000 0.0000 0.2477
Sb1 0.0000 0.0000 0.1232
Sb2 0.0000 0.0000 0.6239
```

- DFT total energy: -6.33 eV per atom



13.
The following is a GGA-PBE calculation of Cd5H18C8N20Cl4O2 after structural relaxation, from Alexandria.

Structure (CIF):
```
data_Cd5H18C8N20Cl4O2
_symmetry_space_group_name_H-M 'P 1 21/c 1'
_symmetry_Int_Tables_number 14
_cell_length_a 9.273
_cell_length_b 10.431
_cell_length_c 14.431
_cell_angle_alpha 90.00
_cell_angle_beta 95.80
_cell_angle_gamma 90.00
loop_
_symmetry_equiv_pos_as_xyz
'x,y,z'
'-x,-y,-z'
'-x,y+1/2,-z+1/2'
'x,-y+1/2,z+1/2'
loop_
_atom_site_label
_atom_site_fract_x
_atom_site_fract_y
_atom_site_fract_z
Cd1 0.000 0.000 0.000
Cd2 0.192 0.177 0.516
Cd3 0.474 0.542 0.880
H1 0.008 0.532 0.123
H2 0.154 0.050 0.336
H3 0.182 0.699 0.634
H4 0.246 0.695 0.748
H5 0.323 0.530 0.440
H6 0.360 0.166 0.761
H7 0.435 0.637 0.394
H8 0.471 0.204 0.465
H9 0.487 0.748 0.215
C1 0.133 0.612 0.909
C2 0.249 0.712 0.431
C3 0.271 0.531 0.677
C4 0.353 0.159 0.201
N1 0.043 0.693 0.945
N2 0.102 0.016 0.390
N3 0.117 0.692 0.459
N4 0.206 0.041 0.109
N5 0.258 0.662 0.682
N6 0.263 0.163 0.123
N7 0.265 0.666 0.899
N8 0.358 0.623 0.439
N9 0.363 0.039 0.238
N10 0.429 0.232 0.736
Cl1 0.146 0.147 0.882
Cl2 0.256 0.523 0.139
O1 0.421 0.125 0.479
```

- DFT total energy: -5.97 eV per atom



14.
The following is a GGA-PBE calculation of NbHg3O after structural relaxation, from Alexandria.

Structure (CIF):
```
data_NbHg3O
_symmetry_space_group_name_H-M 'P m -3 m'
_symmetry_Int_Tables_number 221
_symmetry_space_group_name_Hall '-P 4 2 3'
_cell_length_a 4.727
_cell_length_b 4.727
_cell_length_c 4.727
_cell_angle_alpha 90.00
_cell_angle_beta 90.00
_cell_angle_gamma 90.00
loop_
_atom_site_label
_atom_site_fract_x
_atom_site_fract_y
_atom_site_fract_z
Nb1 0.000 0.000 0.000
Hg1 0.000 0.500 0.500
O1 0.500 0.500 0.500
```

- DFT total energy: -2.42 eV per atom



15.
The following is a GGA-PBE calculation of Be2ZnW after structural relaxation, from Alexandria.

Structure (CIF):
```
data_Be2ZnW
_symmetry_space_group_name_H-M 'C m m m'
_symmetry_Int_Tables_number 65
_symmetry_space_group_name_Hall '-C 2 2'
_cell_length_a 5.395
_cell_length_b 6.611
_cell_length_c 2.689
_cell_angle_alpha 90.00
_cell_angle_beta 90.00
_cell_angle_gamma 90.00
loop_
_atom_site_label
_atom_site_fract_x
_atom_site_fract_y
_atom_site_fract_z
Be1 0.250 0.250 0.000
Zn1 0.000 0.000 0.500
W1 0.000 0.500 0.500
```

- Formation energy from the elements: 0.157 eV/atom